# 1
# Nd2PuSb3 PBE relaxed
# formation energy (no corrections) = -0.985 eV/atom
# polymorph energy (0 for the lowest one) = 0.0 meV/atom
# calculated total energy = -42.146 eV/f.u.
data_Nd2PuSb3
_chemical_formula_sum 'Nd4 Pu2 Sb6'
_cell_length_a 7.782
_cell_length_b 7.782
_cell_length_c 7.774
_cell_angle_alpha 99.60
_cell_angle_beta 99.60
_cell_angle_gamma 119.99
_space_group_name_H-M_alt 'P 1'
_space_group_IT_number 1
loop_
_space_group_symop_operation_xyz
'x,y,z'
loop_
_atom_site_label
_atom_site_fract_x
_atom_site_fract_y
_atom_site_fract_z
Nd1 0.833 0.167 0.500
Nd2 0.333 0.667 0.000
Nd3 0.498 0.502 0.500
Nd4 0.168 0.832 0.500
Pu1 0.000 0.000 0.000
Pu2 0.666 0.334 0.000
Sb1 0.252 0.247 0.756
Sb2 0.415 0.087 0.244
Sb3 0.753 0.748 0.244
Sb4 0.591 0.924 0.756
Sb5 0.076 0.409 0.244
Sb6 0.913 0.585 0.756

***

# 2
# RbNpHgTe2 PBE relaxed
# formation energy (no corrections) = -0.435 eV/atom
# calculated total energy = -22.669 eV/f.u.
data_RbNpHgTe2
_chemical_formula_sum 'Rb2 Np2 Hg2 Te4'
_cell_length_a 6.536
_cell_length_b 6.341
_cell_length_c 9.240
_cell_angle_alpha 110.07
_cell_angle_beta 90.00
_cell_angle_gamma 90.00
_space_group_name_H-M_alt 'P 1'
_space_group_IT_number 1
loop_
_space_group_symop_operation_xyz
'x,y,z'
loop_
_atom_site_label
_atom_site_fract_x
_atom_site_fract_y
_atom_site_fract_z
Hg1 0.000 0.500 0.000
Hg2 0.000 0.000 0.000
Te1 0.311 0.365 0.731
Te2 0.689 0.635 0.269
Te3 0.689 0.865 0.731
Te4 0.311 0.135 0.269
Rb1 0.793 0.250 0.500
Rb2 0.207 0.750 0.500
Np1 0.500 0.750 0.000
Np2 0.500 0.250 0.000

***

> Which of these has the highest calculated total energy?

RbNpHgTe2

***

> Look up the calculated total energy of the second one.

-22.669 eV/f.u.